## a
# Li2PrAu

An optimized crystal structure of Li2PrAu (PBE, Alexandria).

Output
Space-group type: No. 15
Calculated volume in Å³/cell: 189

abc: 5.737 5.632 6.922
angles: 81.08 65.52 68.02
Element x y z (fractional)
Pr  0.850  0.250  0.300
Au  0.253  0.250  0.495
Li  0.424  0.099  0.823
Li  0.247  0.599  0.177
Li  0.576  0.901  0.177
Au  0.747  0.750  0.505
Li  0.753  0.401  0.823
Pr  0.150  0.750  0.700


## b
# Li2PrAu

An optimized crystal structure of Li2PrAu (PBE, Alexandria).

Output
Space-group type: No. 166
Calculated volume in Å³/cell: 92

abc: 3.196 3.196 10.554
angles: 81.29 81.29 60.00
Element x y z (fractional)
Au  0.500  0.500  0.500
Li  0.897  0.897  0.309
Li  0.103  0.103  0.691
Pr  0.000  0.000  0.000


## c
# Li2PrAu

An optimized crystal structure of Li2PrAu (PBE, Alexandria).

Output
Space-group type: No. 225
Calculated volume in Å³/cell: 79

abc: 4.823 4.823 4.823
angles: 60.00 60.00 60.00
Element x y z (fractional)
Li  0.250  0.250  0.250
Au  0.500  0.500  0.500
Pr  0.000  0.000  0.000
Li  0.750  0.750  0.750


Which structure is most stable? a, by 100 meV per atom over the runner-up.


## a
# Li2PrAu

An optimized crystal structure of Li2PrAu (PBE, Alexandria).

Output
Space-group type: No. 160
Calculated volume in Å³/cell: 89

abc: 4.554 4.554 5.614
angles: 66.07 66.07 60.00
Element x y z (fractional)
Au  0.704  0.704  0.887
Li  0.008  0.008  0.975
Li  0.292  0.292  0.125
Pr  0.496  0.496  0.513


## b
# Li2PrAu

An optimized crystal structure of Li2PrAu (PBE, Alexandria).

Output
Space-group type: No. 123
Calculated volume in Å³/cell: 84

abc: 3.404 3.404 7.275
angles: 90.00 90.00 90.00
Element x y z (fractional)
Pr  0.500  0.500  0.500
Li  0.000  0.000  0.175
Li  0.000  0.000  0.825
Au  0.500  0.500  0.000


Which structure is most stable? a, by 118 meV per atom over the runner-up.


## a
# Li2PrAu2

An optimized crystal structure of Li2PrAu2 (PBE, Alexandria).

Output
Space-group type: No. 139
Calculated volume in Å³/cell: 105

abc: 4.001 4.001 7.160
angles: 106.22 106.22 90.00
Element x y z (fractional)
Li  0.750  0.250  0.500
Au  0.611  0.611  0.222
Au  0.389  0.389  0.778
Pr  0.000  0.000  0.000
Li  0.250  0.750  0.500


## b
# Li2PrAu2

An optimized crystal structure of Li2PrAu2 (PBE, Alexandria).

Output
Space-group type: No. 123
Calculated volume in Å³/cell: 105

abc: 4.007 4.007 6.546
angles: 90.00 90.00 90.00
Element x y z (fractional)
Li  0.500  0.000  0.500
Au  0.500  0.500  0.777
Au  0.500  0.500  0.223
Li  0.000  0.500  0.500
Pr  0.000  0.000  0.000


Which structure is most stable? a, by 8 meV per atom over the runner-up.


## a
# Li2PrAu3

An optimized crystal structure of Li2PrAu3 (PBE, Alexandria).

Output
Space-group type: No. 194
Calculated volume in Å³/cell: 238

abc: 4.535 4.535 13.379
angles: 90.00 90.00 120.00
Element x y z (fractional)
Au  0.333  0.667  0.374
Au  0.000  0.000  0.500
Li  0.667  0.333  0.068
Li  0.667  0.333  0.432
Au  0.000  0.000  0.000
Li  0.333  0.667  0.568
Pr  0.000  0.000  0.750
Au  0.333  0.667  0.126
Au  0.667  0.333  0.626
Au  0.667  0.333  0.874
Pr  0.000  0.000  0.250
Li  0.333  0.667  0.932


## b
# Li2PrAu3

An optimized crystal structure of Li2PrAu3 (PBE, Alexandria).

Output
Space-group type: No. 63
Calculated volume in Å³/cell: 249

abc: 5.322 6.858 6.858
angles: 95.96 90.00 90.00
Element x y z (fractional)
Au  0.250  0.945  0.945
Au  0.750  0.466  0.086
Au  0.250  0.534  0.914
Pr  0.750  0.721  0.721
Pr  0.250  0.279  0.279
Au  0.250  0.914  0.534
Au  0.750  0.086  0.466
Au  0.750  0.055  0.055
Li  0.000  0.223  0.777
Li  0.500  0.223  0.777
Li  0.000  0.777  0.223
Li  0.500  0.777  0.223


Which structure is most stable? a, by 56 meV per atom over the runner-up.


## a
# LiTbPrAu

An optimized crystal structure of LiTbPrAu (PBE, Alexandria).

Output
Space-group type: No. 47
Calculated volume in Å³/cell: 100

abc: 3.760 5.137 5.198
angles: 90.00 90.00 90.00
Element x y z (fractional)
Au  0.000  0.000  0.000
Pr  0.500  0.000  0.500
Li  0.000  0.500  0.500
Tb  0.500  0.500  0.000


## b
# LiTbPrAu

An optimized crystal structure of LiTbPrAu (PBE, Alexandria).

Output
Space-group type: No. 216
Calculated volume in Å³/cell: 101

abc: 5.227 5.227 5.227
angles: 60.00 60.00 60.00
Element x y z (fractional)
Pr  0.750  0.750  0.750
Tb  0.250  0.250  0.250
Li  0.500  0.500  0.500
Au  0.000  0.000  0.000


Which structure is most stable? a, by 22 meV per atom over the runner-up.


## a
# LiPrTlAu

An optimized crystal structure of LiPrTlAu (PBE, Alexandria).

Output
Space-group type: No. 216
Calculated volume in Å³/cell: 96

abc: 5.139 5.139 5.139
angles: 60.00 60.00 60.00
Element x y z (fractional)
Li  0.250  0.250  0.250
Tl  0.500  0.500  0.500
Au  0.000  0.000  0.000
Pr  0.750  0.750  0.750


## b
# LiPrTlAu

An optimized crystal structure of LiPrTlAu (PBE, Alexandria).

Output
Space-group type: No. 216
Calculated volume in Å³/cell: 89

abc: 5.019 5.019 5.019
angles: 60.00 60.00 60.00
Element x y z (fractional)
Pr  0.500  0.500  0.500
Li  0.250  0.250  0.250
Au  0.750  0.750  0.750
Tl  0.000  0.000  0.000


Which structure is most stable? b, by 21 meV per atom over the runner-up.